# Li4V3OF11 PBE with a Hubbard U relaxed
# **Volume**: 11.1 A^3/atom
# **Total energy**: -5.750 eV/atom
# **Excess energy over the best structure of this formula in the dataset**: 0.00 eV/f.u.
# **SG**: No. 1
data_Li4V3OF11
_symmetry_space_group_name_H-M 'P 1'
_symmetry_Int_Tables_number 1
_cell_length_a 5.7058
_cell_length_b 6.4008
_cell_length_c 6.0617
_cell_angle_alpha 100.47
_cell_angle_beta 97.19
_cell_angle_gamma 100.72
loop_
_symmetry_equiv_pos_as_xyz
'x,y,z'
loop_
_atom_site_label
_atom_site_type_symbol
_atom_site_fract_x
_atom_site_fract_y
_atom_site_fract_z
Li1 Li 0.1358 0.5536 0.3430
Li2 Li 0.6002 0.3206 0.1438
Li3 Li 0.3159 0.1487 0.6031
Li4 Li 0.8382 0.3752 0.6248
V1 V 0.6954 0.8611 0.3802
V2 V 0.4166 0.6593 0.8591
V3 V 0.9916 0.0143 0.0043
O1 O 0.6748 0.8766 0.0507
F1 F 0.0603 0.9702 0.3308
F2 F 0.0987 0.7352 0.9021
F3 F 0.4309 0.7990 0.5792
F4 F 0.4126 0.5849 0.1789
F5 F 0.1838 0.4163 0.6143
F6 F 0.8230 0.6004 0.4265
F7 F 0.3125 0.1397 0.9427
F8 F 0.6163 0.4464 0.8154
F9 F 0.5783 0.1515 0.3997
F10 F 0.9410 0.3034 0.1170
F11 F 0.8743 0.0437 0.6846